[1]
A plane-wave DFT calculation with GGA-PBE was carried out for crystalline TlInPb3 at its relaxed geometry.

```
TlInPb3
1.0
5.8463 0.0000 0.0000
0.0000 5.8463 0.0000
0.0000 0.0000 5.8463
Pb Tl In
3 1 1
Direct
0.5000 0.0000 0.0000
0.0000 0.5000 0.0000
0.0000 0.0000 0.5000
0.5000 0.5000 0.5000
0.0000 0.0000 0.0000
```

- crystal system = cubic
- volume (Å³/cell) = 200
- energy relative to the elements (meV/atom) = 415
- space group = No. 221

[2]
A plane-wave DFT calculation with GGA-PBE was carried out for crystalline TbAlZn2 at its relaxed geometry.

```
TbAlZn2
1.0
4.0972 0.0000 0.0000
0.0000 4.3554 0.0000
0.0000 0.0000 4.3554
Zn Al Tb
2 1 1
Direct
0.0000 0.0000 0.5000
0.0000 0.5000 0.0000
0.5000 0.0000 0.0000
0.5000 0.5000 0.5000
```

- crystal system = tetragonal
- volume (Å³/cell) = 78
- energy relative to the elements (meV/atom) = -285
- space group = No. 123

[3]
A plane-wave DFT calculation with GGA-PBE was carried out for crystalline Sc2VZn2 at its relaxed geometry.

```
Sc2VZn2
1.0
7.2277 0.0000 0.0000
0.0000 7.2277 0.0000
0.0000 0.0000 3.6218
Sc Zn V
4 4 2
Direct
0.1764 0.6764 0.5000
0.6764 0.8236 0.5000
0.3236 0.1764 0.5000
0.8236 0.3236 0.5000
0.3749 0.8749 0.0000
0.8749 0.6251 0.0000
0.1251 0.3749 0.0000
0.6251 0.1251 0.0000
0.5000 0.5000 0.0000
0.0000 0.0000 0.0000
```

- crystal system = tetragonal
- volume (Å³/cell) = 189
- energy relative to the elements (meV/atom) = -36
- space group = No. 127

| no. | energy (eV per atom) |
| --- | --- |
| 1 | -2.831 |
| 2 | -3.015 |
| 3 | -4.902 |